A relaxed FeTc2Rh crystal. Source: Alexandria via LeMat-Bulk, functional GGA-PBE.

Lattice parameters (Å, degrees): 2.6981 4.6284 5.3988 55.00 90.00 90.00
Site moments in Bohr magnetons follow the coordinates.
Positions (direct):
Tc 0.5000 0.5000 0.0000  -0.03
Tc 0.0000 0.0000 0.0000  -0.17
Fe 0.5000 0.5000 0.5000  2.27
Rh 0.0000 0.0000 0.5000  0.04

Calculated values
- Offset from the most stable computed form: 51.7 meV per atom
- DFT formation energy: 0.054 eV per atom
- DOS at the Fermi energy: 4.79 states/eV/f.u.